1.
DFT (GGA-PBEsol) results for a relaxed structure of MnMoIr.

Cell and atoms, written as extended XYZ:
```
3
Lattice="4.169 0.000 0.000 -2.084 3.610 0.000 0.000 0.000 2.654" Properties=species:S:1:pos:R:3 pbc="T T T"
Mn 0.000 0.000 0.000
Mo 2.084 1.203 0.000
Ir 0.000 2.407 1.327
```

Properties
- formation enthalpy at 0 K (eV per atom) = -0.014
- DFT total energy (eV per cell) = -31.40
- V (Å³ per atom) = 13.316
- D(E_F) (states/eV/atom) = 0.753



2.
DFT (GGA-PBEsol) results for a relaxed structure of MnIrRh2N.

Cell and atoms, written as extended XYZ:
```
5
Lattice="4.641 0.000 0.000 0.000 4.641 0.000 0.000 0.000 4.798" Properties=species:S:1:pos:R:3 pbc="T T T"
Mn 0.000 0.000 0.000
Ir 0.000 0.000 2.399
Rh 0.000 2.320 2.399
Rh 2.320 0.000 2.399
N 2.320 2.320 0.000
```

Properties
- formation energy from raw total energies (kJ per mole of atoms) = 231.6
- DFT total energy (eV per cell) = -32.38
- V (Å³ per atom) = 20.667
- D(E_F) (states/eV/atom) = 0.719



3.
DFT (GGA-PBEsol) results for a relaxed structure of MnIrSe2N.

Cell and atoms, written as extended XYZ:
```
5
Lattice="5.083 0.000 0.000 0.000 5.083 0.000 0.000 0.000 3.621" Properties=species:S:1:pos:R:3 pbc="T T T"
Mn 0.000 0.000 0.000
Ir 2.541 2.541 1.811
Se 0.000 2.541 1.811
Se 2.541 0.000 1.811
N 2.541 2.541 0.000
```

Properties
- formation energy from raw total energies (kJ per mole of atoms) = 46.6
- DFT total energy (eV per cell) = -33.40
- V (Å³ per atom) = 18.710
- D(E_F) (states/eV/atom) = 0.623



4.
DFT (GGA-PBEsol) results for a relaxed structure of Na2MnIr.

Cell and atoms, written as extended XYZ:
```
8
Lattice="-4.945 4.945 2.282 4.945 -4.945 2.282 4.945 4.945 -2.282" Properties=species:S:1:pos:R:3 pbc="T T T"
Na 1.199 2.472 0.570
Na -2.472 3.746 1.711
Na -1.199 7.417 0.570
Na 2.472 6.144 1.711
Mn 4.945 0.000 1.141
Mn 0.000 0.000 2.282
Ir 0.000 0.000 0.000
Ir 0.000 4.945 1.141
```

Properties
- energy above the lowest structure with this stoichiometry (meV/atom) = 0
- formation enthalpy at 0 K (eV per atom) = 1.021
- DFT total energy (eV per cell) = -36.60
- V (Å³ per atom) = 27.898
- D(E_F) (states/eV/atom) = 0.661



5.
DFT (GGA-PBEsol) results for a relaxed structure of Na2MnIr.

Cell and atoms, written as extended XYZ:
```
4
Lattice="0.000 3.278 3.278 3.278 0.000 3.278 3.278 3.278 0.000" Properties=species:S:1:pos:R:3 pbc="T T T"
Na 1.639 1.639 1.639
Na 4.918 4.918 4.918
Mn 0.000 0.000 0.000
Ir 3.278 3.278 3.278
```

Properties
- energy above the lowest structure with this stoichiometry (meV/atom) = 9
- formation enthalpy at 0 K (eV per atom) = 1.030
- DFT total energy (eV per cell) = -18.26
- V (Å³ per atom) = 17.618
- D(E_F) (states/eV/atom) = 0.397



6.
DFT (GGA-PBEsol) results for a relaxed structure of MnNi2Ir.

Cell and atoms, written as extended XYZ:
```
4
Lattice="-1.796 1.796 3.613 1.796 -1.796 3.613 1.796 1.796 -3.613" Properties=species:S:1:pos:R:3 pbc="T T T"
Mn 0.000 0.000 0.000
Ni 1.796 0.000 1.806
Ni 0.000 1.796 1.806
Ir 0.000 0.000 3.613
```

Properties
- formation enthalpy at 0 K (eV per atom) = -0.043
- DFT total energy (eV per cell) = -32.07
- V (Å³ per atom) = 11.652
- D(E_F) (states/eV/atom) = 1.251



7.
DFT (GGA-PBEsol) results for a relaxed structure of MnNi2Ir.

Cell and atoms, written as extended XYZ:
```
4
Lattice="-1.794 1.794 3.574 1.794 -1.794 3.574 1.794 1.794 -3.574" Properties=species:S:1:pos:R:3 pbc="T T T"
Mn 0.000 0.000 0.000
Ni 0.000 0.000 3.574
Ni 0.000 1.794 1.787
Ir 1.794 0.000 1.787
```

Properties
- formation enthalpy at 0 K (eV per atom) = -0.083
- DFT total energy (eV per cell) = -32.23
- V (Å³ per atom) = 11.508
- D(E_F) (states/eV/atom) = 0.949



8.
DFT (GGA-PBEsol) results for a relaxed structure of MnNiIr.

Cell and atoms, written as extended XYZ:
```
3
Lattice="-1.304 1.304 5.231 1.304 -1.304 5.231 1.304 1.304 -5.231" Properties=species:S:1:pos:R:3 pbc="T T T"
Mn 0.000 0.000 0.000
Ni 0.000 0.000 6.897
Ir 0.000 0.000 3.524
```

Properties
- energy above the lowest structure with this stoichiometry (meV/atom) = 73
- formation enthalpy at 0 K (eV per atom) = -0.003
- DFT total energy (eV per cell) = -25.75
- V (Å³ per atom) = 11.862
- D(E_F) (states/eV/atom) = 1.040



9.
DFT (GGA-PBEsol) results for a relaxed structure of MnNi6Ir.

Cell and atoms, written as extended XYZ:
```
32
Lattice="3.541 -5.012 0.000 3.541 5.012 0.000 0.000 0.000 10.016" Properties=species:S:1:pos:R:3 pbc="T T T"
Mn 0.000 0.000 2.476
Mn 0.000 0.000 7.541
Mn 3.541 2.517 0.000
Mn 3.541 -2.517 0.000
Ni 0.000 0.000 0.000
Ni 0.000 0.000 5.008
Ni 1.762 1.259 1.237
Ni 1.762 1.259 8.779
Ni 1.761 1.250 3.732
Ni 1.761 1.250 6.284
Ni 3.541 2.509 2.487
Ni 3.541 2.509 7.529
Ni 1.761 -1.250 3.732
Ni 1.761 -1.250 6.284
Ni 1.762 -1.259 1.237
Ni 1.762 -1.259 8.779
Ni 3.541 0.000 0.000
Ni 3.541 0.000 5.008
Ni 5.319 1.259 1.237
Ni 5.319 1.259 8.779
Ni 5.320 1.250 3.732
Ni 5.320 1.250 6.284
Ni 3.541 -2.509 2.487
Ni 3.541 -2.509 7.529
Ni 5.320 -1.250 3.732
Ni 5.320 -1.250 6.284
Ni 5.319 -1.259 1.237
Ni 5.319 -1.259 8.779
Ir 3.541 2.533 5.008
Ir 3.541 0.000 2.491
Ir 3.541 0.000 7.525
Ir 3.541 -2.533 5.008
```

Properties
- formation enthalpy at 0 K (eV per atom) = -0.003
- DFT total energy (eV per cell) = -226.22
- V (Å³ per atom) = 11.109
- D(E_F) (states/eV/atom) = 1.697



10.
DFT (GGA-PBEsol) results for a relaxed structure of MnNi2Ir.

Cell and atoms, written as extended XYZ:
```
4
Lattice="4.202 -1.299 0.000 4.202 1.299 0.000 -0.824 0.000 4.302" Properties=species:S:1:pos:R:3 pbc="T T T"
Mn 0.000 0.000 0.000
Ni 1.478 0.000 3.240
Ni 6.101 0.000 1.063
Ir 3.790 0.000 2.151
```

Properties
- formation enthalpy at 0 K (eV per atom) = 0.020
- DFT total energy (eV per cell) = -31.82
- V (Å³ per atom) = 11.742
- D(E_F) (states/eV/atom) = 1.660



11.
DFT (GGA-PBEsol) results for a relaxed structure of Mn2NiIr.

Cell and atoms, written as extended XYZ:
```
4
Lattice="-1.786 1.786 3.613 1.786 -1.786 3.613 1.786 1.786 -3.613" Properties=species:S:1:pos:R:3 pbc="T T T"
Mn 1.786 0.000 1.807
Mn 0.000 1.786 1.807
Ni 0.000 0.000 0.000
Ir 0.000 0.000 3.613
```

Properties
- formation enthalpy at 0 K (eV per atom) = -0.057
- DFT total energy (eV per cell) = -35.73
- V (Å³ per atom) = 11.524
- D(E_F) (states/eV/atom) = 1.138



12.
DFT (GGA-PBEsol) results for a relaxed structure of MnNi2Ir.

Cell and atoms, written as extended XYZ:
```
4
Lattice="2.545 -3.563 0.000 2.545 3.563 0.000 0.000 0.000 2.626" Properties=species:S:1:pos:R:3 pbc="T T T"
Mn 0.000 0.000 0.000
Ni 1.272 1.782 1.313
Ni 1.272 -1.782 1.313
Ir 2.545 0.000 0.000
```

Properties
- formation enthalpy at 0 K (eV per atom) = -0.002
- DFT total energy (eV per cell) = -31.91
- V (Å³ per atom) = 11.904
- D(E_F) (states/eV/atom) = 1.249



13.
DFT (GGA-PBEsol) results for a relaxed structure of Mn2NiIr.

Cell and atoms, written as extended XYZ:
```
4
Lattice="2.588 0.000 0.000 0.000 4.027 0.000 0.000 0.000 4.413" Properties=species:S:1:pos:R:3 pbc="T T T"
Mn 0.000 0.000 0.000
Mn 0.000 2.014 1.427
Ni 1.294 2.014 3.725
Ir 1.294 0.000 2.217
```

Properties
- formation enthalpy at 0 K (eV per atom) = -0.068
- DFT total energy (eV per cell) = -35.77
- V (Å³ per atom) = 11.498
- D(E_F) (states/eV/atom) = 1.070



14.
DFT (GGA-PBEsol) results for a relaxed structure of MnNiIr.

Cell and atoms, written as extended XYZ:
```
3
Lattice="-1.302 1.776 3.805 1.302 -1.776 3.805 1.302 1.776 -3.805" Properties=species:S:1:pos:R:3 pbc="T T T"
Mn 0.000 0.000 0.000
Ni 0.000 0.000 5.063
Ir 0.000 0.000 2.555
```

Properties
- energy above the lowest structure with this stoichiometry (meV/atom) = 0
- formation enthalpy at 0 K (eV per atom) = -0.076
- DFT total energy (eV per cell) = -25.97
- V (Å³ per atom) = 11.731
- D(E_F) (states/eV/atom) = 1.047